Here is crystalline Hf3BMo at its relaxed geometry from the Alexandria database. Energies are from PBE-GGA.

a = 4.950 Å, b = 4.950 Å, c = 4.950 Å
α = 90.00°, β = 90.00°, γ = 90.00°
Space group Pm-3m (No. 221)
Unique sites:
Hf  0.000  0.000  0.500 [3 per cell]
B  0.500  0.500  0.500 [1 per cell]
Mo  0.000  0.000  0.000 [1 per cell]

## Properties
Uncorrected energy   -7.842 eV/atom
Distance to the lowest polymorph of the same formula   740 kJ/mol of formula units
Formation energy from the elements   1.631 eV per atom
Magnetic moment   0.0000 μB/atom
Mass density   8.79 g cm⁻³